(1)
Crystalline Tl2SnAsI at its relaxed geometry. Source: the Alexandria database, functional GGA-PBE.

Results
**SG**: P4/mmm (123)

```
Tl2SnAsI
1.0
6.1940 0.0000 0.0000
0.0000 6.1940 0.0000
0.0000 0.0000 5.5000
Tl Sn As I
2 1 1 1
Direct
0.0000 0.5000 0.0000 Tl
0.5000 0.0000 0.0000 Tl
0.0000 0.0000 0.5000 Sn
0.5000 0.5000 0.5000 As
0.5000 0.5000 0.0000 I
```


(2)
Crystalline Pr3TeSeI at its relaxed geometry. Source: the Alexandria database, functional GGA-PBE.

Results
**SG**: P2_1/m (11)

```
Pr3TeSeI
1.0
8.8609 0.0000 0.0000
0.0000 4.1710 0.0000
-3.5191 0.0000 10.6278
Pr Te Se I
6 2 2 2
Direct
0.0217 0.2500 0.3215 Pr
0.2019 0.2500 0.0483 Pr
0.4003 0.7500 0.6011 Pr
0.5997 0.2500 0.3989 Pr
0.7981 0.7500 0.9517 Pr
0.9783 0.7500 0.6785 Pr
0.3002 0.7500 0.2930 Te
0.6998 0.2500 0.7070 Te
0.1684 0.2500 0.5988 Se
0.8316 0.7500 0.4012 Se
0.3399 0.7500 0.8854 I
0.6601 0.2500 0.1146 I
```


(3)
Crystalline BaDyRh4 at its relaxed geometry. Source: the Alexandria database, functional GGA-PBE.

Results
**SG**: F-43m (216)
**E_form**: -357 meV per atom

```
BaDyRh4
1.0
0.0000 3.8670 3.8670
3.8670 0.0000 3.8670
3.8670 3.8670 0.0000
Ba Dy Rh
1 1 4
Direct
0.0000 0.0000 0.0000 Ba
0.2500 0.2500 0.2500 Dy
0.1269 0.6244 0.6244 Rh
0.6244 0.1269 0.6244 Rh
0.6244 0.6244 0.1269 Rh
0.6244 0.6244 0.6244 Rh
```


(4)
Crystalline Ba2CoP at its relaxed geometry. Source: the Alexandria database, functional GGA-PBE.

Results
**SG**: Amm2 (38)
**E_form**: -399 meV per atom

```
Ba2CoP
1.0
4.2742 0.0000 0.0000
0.0000 2.4449 5.4865
0.0000 -2.4449 5.4865
Ba Co P
2 1 1
Direct
0.0000 0.0000 0.0000 Ba
0.5000 0.2952 0.2952 Ba
0.0000 0.6671 0.6671 Co
0.5000 0.6093 0.6093 P
```


(5)
Crystalline ZrNi8H6 at its relaxed geometry. Source: the Alexandria database, functional GGA-PBE.

Results
**SG**: R-3 (148)

```
ZrNi8H6
1.0
2.3232 1.3413 6.5184
-2.3232 1.3413 6.5184
0.0000 -2.6826 6.5184
Zr Ni H
1 8 6
Direct
0.0000 0.0000 0.0000 Zr
0.1066 0.4514 0.7845 Ni
0.2155 0.8934 0.5486 Ni
0.3378 0.3378 0.3378 Ni
0.4514 0.7845 0.1066 Ni
0.5486 0.2155 0.8934 Ni
0.6622 0.6622 0.6622 Ni
0.7845 0.1066 0.4514 Ni
0.8934 0.5486 0.2155 Ni
0.0870 0.7249 0.4152 H
0.2751 0.5848 0.9130 H
0.4152 0.0870 0.7249 H
0.5848 0.9130 0.2751 H
0.7249 0.4152 0.0870 H
0.9130 0.2751 0.5848 H
```


(6)
Crystalline Pm4GaTe2Cl at its relaxed geometry. Source: the Alexandria database, functional GGA-PBE.

Results
**SG**: P2/m (10)

```
Pm4GaTe2Cl
1.0
7.4173 0.0000 0.0000
0.0000 4.3259 0.0000
-2.5079 0.0000 7.2285
Pm Ga Te Cl
4 1 2 1
Direct
0.2350 0.0000 0.2264 Pm
0.2446 0.5000 0.7709 Pm
0.7554 0.5000 0.2291 Pm
0.7650 0.0000 0.7736 Pm
0.0000 0.5000 0.0000 Ga
0.0000 0.0000 0.5000 Te
0.5000 0.5000 0.5000 Te
0.5000 0.0000 0.0000 Cl
```


Calculated values (eV per cell) of DFT total energy for the records, taken in order: -11.792, -60.590, -38.075, -17.958, -76.526, -40.012.